Entry from Alexandria via LeMat-Bulk: a relaxed structure of YSc3P (PBEsol).

## Properties
Formation energy, kJ/mol of formula units: 546
E, eV/atom: -5.354

CIF file:
```
data_YSc3P
_cell_length_a 4.992
_cell_length_b 4.992
_cell_length_c 4.992
_cell_angle_alpha 90.00
_cell_angle_beta 90.00
_cell_angle_gamma 90.00
_space_group_name_H-M_alt 'P 1'
_space_group_IT_number 1
loop_
_space_group_symop_operation_xyz
'x,y,z'
loop_
_atom_site_label
_atom_site_fract_x
_atom_site_fract_y
_atom_site_fract_z
Y1 0.000 0.000 0.000
Sc1 0.000 0.500 0.000
Sc2 0.000 0.000 0.500
Sc3 0.500 0.000 0.000
P1 0.500 0.500 0.500
```